AlAgO3 PBE relaxed; symmetry = No. 140; electronic total energy = -5.4823 eV per atom
1.0
-2.605 2.605 3.683
2.605 -2.605 3.683
2.605 2.605 -3.683
Al Ag O
2 2 6
direct
0.000 0.000 0.000
0.500 0.500 0.000
0.250 0.750 0.500
0.750 0.250 0.500
0.181 0.681 0.861
0.250 0.250 0.000
0.319 0.181 0.500
0.681 0.819 0.500
0.750 0.750 0.000
0.819 0.319 0.139


AlAgPO PBE relaxed; symmetry = No. 129; distance to the lowest polymorph of the same formula = 286 meV/atom
1.0
3.625 0.000 0.000
0.000 3.625 0.000
0.000 0.000 9.029
Al Ag P O
2 2 2 2
direct
0.250 0.250 0.085
0.750 0.750 0.915
0.250 0.750 0.500
0.750 0.250 0.500
0.250 0.250 0.713
0.750 0.750 0.287
0.250 0.750 0.000
0.750 0.250 0.000


AlAgPO PBE relaxed; symmetry = No. 26; distance to the lowest polymorph of the same formula = 19 meV/atom
1.0
3.913 0.000 0.000
0.000 6.615 0.000
0.000 0.000 5.226
Al Ag P O
2 2 2 2
direct
0.000 0.149 0.000
0.000 0.851 0.500
0.500 0.293 0.428
0.500 0.707 0.928
0.500 0.339 0.910
0.500 0.661 0.410
0.000 0.079 0.327
0.000 0.921 0.827